1.
La2Ce3TmAs6 | PBE-GGA | relaxed

The structure belongs to space group C2/m (No. 12); the cell edges are 7.3576, 12.7443 and 7.3597 Å and the angles 90.00°, 109.51° and 90.00°. Symmetry generates all atoms from La at (0.0000, 0.1659, 0.0000), Ce at (0.0000, 0.0000, 0.5000), Ce at (0.0000, 0.3314, 0.5000), Tm at (0.0000, 0.5000, 0.0000), As at (0.2380, 0.5000, 0.7443) and As at (0.2461, 0.3381, 0.2535).

The value obtained for the calculated formation energy is -1474 meV per atom. As for the total DFT energy (no corrections): -6.476 eV per atom.

***

2.
Sr5Rh2N6 | PBE-GGA | relaxed

The structure belongs to space group C2/c (No. 15); the cell edges are 10.6018, 7.1221 and 12.7209 Å and the angles 90.00°, 104.87° and 90.00°. Symmetry generates all atoms from Sr at (0.0000, 0.1028, 0.2500), Sr at (0.0628, 0.2451, 0.9997), Sr at (0.1642, 0.3924, 0.7289), Rh at (0.2368, 0.4211, 0.4599), N at (0.0604, 0.4425, 0.3768), N at (0.1397, 0.0499, 0.6295) and N at (0.2143, 0.0426, 0.9037).

As for the total DFT energy (no corrections): -5.954 eV per atom.

***

3.
Cu2MoH | PBE-GGA | relaxed

The structure belongs to space group Fm-3m (No. 225); the cell edges are 5.8029, 5.8029 and 5.8029 Å and the angles 90.00°, 90.00° and 90.00°. Symmetry generates all atoms from Cu at (0.2500, 0.2500, 0.2500), Mo at (0.0000, 0.0000, 0.0000) and H at (0.0000, 0.0000, 0.5000).

As for the relative energy among the computed polymorphs: 611 meV per atom. As for the total DFT energy (no corrections): -4.494 eV per atom.

***

4.
Ta2CuCl | PBE-GGA | relaxed

The structure belongs to space group P4/mmm (No. 123); the cell edges are 3.9428, 3.9428 and 4.4099 Å and the angles 90.00°, 90.00° and 90.00°. Symmetry generates all atoms from Ta at (0.0000, 0.5000, 0.0000), Cu at (0.0000, 0.0000, 0.5000) and Cl at (0.5000, 0.5000, 0.5000).

As for the relative energy among the computed polymorphs: 781 meV per atom. As for the total DFT energy (no corrections): -6.630 eV per atom.

***

5.
SrGeN3 | PBE-GGA | relaxed

The structure belongs to space group Pm-3m (No. 221); the cell edges are 3.9448, 3.9448 and 3.9448 Å and the angles 90.00°, 90.00° and 90.00°. Symmetry generates all atoms from Sr at (0.0000, 0.0000, 0.0000), Ge at (0.5000, 0.5000, 0.5000) and N at (0.0000, 0.5000, 0.5000).

As for the total DFT energy (no corrections): -5.752 eV per atom.

***

6.
Tl3O2F2 | PBE-GGA | relaxed

The structure belongs to space group P-1 (No. 2); the cell edges are 3.5215, 6.1963 and 6.2832 Å and the angles 70.51°, 86.56° and 87.73°. Symmetry generates all atoms from Tl at (0.0000, 0.0000, 0.0000), Tl at (0.4880, 0.6822, 0.6180), O at (0.4936, 0.9691, 0.7781) and F at (0.0192, 0.5951, 0.1850).

As for the total DFT energy (no corrections): -4.068 eV per atom.

***

7.
FeSi3Ir | PBE-GGA | relaxed

The structure belongs to space group Pm-3m (No. 221); the cell edges are 4.2408, 4.2408 and 4.2408 Å and the angles 90.00°, 90.00° and 90.00°. Symmetry generates all atoms from Fe at (0.0000, 0.0000, 0.0000), Si at (0.0000, 0.0000, 0.5000) and Ir at (0.5000, 0.5000, 0.5000).

As for the relative energy among the computed polymorphs: 0 meV per atom. As for the total DFT energy (no corrections): -6.203 eV per atom.

***

8.
CsIN2O | PBE-GGA | relaxed

The structure belongs to space group P4/mmm (No. 123); the cell edges are 6.0784, 6.0784 and 4.5246 Å and the angles 90.00°, 90.00° and 90.00°. Symmetry generates all atoms from Cs at (0.0000, 0.0000, 0.0000), I at (0.5000, 0.5000, 0.5000), N at (0.0000, 0.5000, 0.0000) and O at (0.0000, 0.0000, 0.5000).

As for the total DFT energy (no corrections): -2.719 eV per atom.

***

9.
ReNi2Pt | PBE-GGA | relaxed

The structure belongs to space group I4/mmm (No. 139); the cell edges are 3.7852, 3.7852 and 7.2935 Å and the angles 90.00°, 90.00° and 90.00°. Symmetry generates all atoms from Re at (0.0000, 0.0000, 0.0000), Ni at (0.0000, 0.5000, 0.2500) and Pt at (0.0000, 0.0000, 0.5000).

As for the relative energy among the computed polymorphs: 97 meV per atom. The value obtained for the calculated formation energy is 14 meV per atom. As for the total DFT energy (no corrections): -7.499 eV per atom.

***

10.
Y2VCdC | PBE-GGA | relaxed

The structure belongs to space group P4/mmm (No. 123); the cell edges are 5.0421, 5.0421 and 4.0308 Å and the angles 90.00°, 90.00° and 90.00°. Symmetry generates all atoms from Y at (0.0000, 0.5000, 0.0000), V at (0.0000, 0.0000, 0.5000), Cd at (0.5000, 0.5000, 0.5000) and C at (0.0000, 0.0000, 0.0000).

The value obtained for the calculated formation energy is -272 meV per atom. As for the total DFT energy (no corrections): -6.709 eV per atom.

***

11.
NpHSeBr | PBE-GGA | relaxed

The structure belongs to space group R3m (No. 160, hexagonal axes); the cell edges are 3.8441, 3.8441 and 21.6112 Å and the angles 90.00°, 90.00° and 120.00°. Symmetry generates all atoms from Np at (0.0000, 0.0000, 0.0000), H at (0.0000, 0.0000, 0.6707), Se at (0.0000, 0.0000, 0.2533) and Br at (0.0000, 0.0000, 0.4255).

As for the total DFT energy (no corrections): -6.253 eV per atom.

***

12.
CrPd2Au6 | PBE-GGA | relaxed

The structure belongs to space group C2/m (No. 12); the cell edges are 9.1361, 4.1054 and 8.6426 Å and the angles 90.00°, 108.38° and 90.00°. Symmetry generates all atoms from Cr at (0.0000, 0.0000, 0.0000), Pd at (0.1616, 0.5000, 0.2161), Au at (0.0020, 0.0000, 0.6742), Au at (0.1674, 0.5000, 0.5549) and Au at (0.1681, 0.5000, 0.8915).

As for the relative energy among the computed polymorphs: 2 meV per atom. The value obtained for the calculated formation energy is -46 meV per atom. As for the total DFT energy (no corrections): -4.454 eV per atom.